1.
Entry from Alexandria via LeMat-Bulk: a relaxed structure of Y2Er5In (PBE-GGA).

Calculated values
* energy of formation from the pure elements: -85 kJ/mol of formula units

Geometry as extended XYZ:
```
8
Lattice="-6.836 4.513 -0.855 -3.892 -5.528 1.947 5.369 1.873 3.340" Properties=species:S:1:pos:R:3 pbc="T T T"
Y -3.824 3.205 1.455
Er -2.954 -0.040 0.337
Y -1.618 -2.498 2.385
Er -2.342 0.808 3.625
In 0.245 0.350 1.475
Er -4.898 -2.804 1.311
Er -0.502 3.423 2.706
Er -5.547 0.380 2.701
```



2.
Entry from Alexandria via LeMat-Bulk: a relaxed structure of YEr2In3 (PBE-GGA).

Calculated values
* excess energy over the best structure of this formula in the dataset: 0 meV per atom
* energy of formation from the pure elements: -266 kJ/mol of formula units

Geometry as extended XYZ:
```
6
Lattice="-1.161 0.434 3.507 -3.407 -1.118 -0.990 2.866 -10.755 2.280" Properties=species:S:1:pos:R:3 pbc="T T T"
In 0.000 0.000 0.000
Er 0.109 -9.321 3.162
Er -1.811 -2.118 1.635
In 1.920 -7.204 1.527
Y -0.851 -5.719 2.398
In 0.946 -3.551 0.753
```



3.
Entry from Alexandria via LeMat-Bulk: a relaxed structure of Y5Er4In (PBE-GGA).

Calculated values
* excess energy over the best structure of this formula in the dataset: 285 meV per atom
* energy of formation from the pure elements: 198 kJ/mol of formula units

Geometry as extended XYZ:
```
10
Lattice="-4.094 0.179 4.579 1.961 -4.633 6.057 1.581 5.586 5.319" Properties=species:S:1:pos:R:3 pbc="T T T"
Er 0.168 2.160 7.949
Er 0.763 0.780 4.412
Y 0.890 -2.438 4.723
Er -0.954 0.336 11.140
Y -2.652 0.116 2.966
Y 2.013 -0.740 9.783
Y -1.153 3.558 10.909
Y -2.275 1.859 5.848
Er -0.359 -1.043 7.603
In -0.735 0.032 0.822
```



4.
Entry from Alexandria via LeMat-Bulk: a relaxed structure of Y4Er2In (PBE-GGA).

Calculated values
* energy of formation from the pure elements: -25 kJ/mol of formula units

Geometry as extended XYZ:
```
14
Lattice="5.563 0.000 -0.372 0.000 6.768 0.000 -2.128 0.000 11.555" Properties=species:S:1:pos:R:3 pbc="T T T"
Er 2.950 5.076 0.081
Er 0.485 1.692 11.102
Y -0.037 1.692 1.524
Y 3.279 1.692 6.356
Y 0.156 5.076 4.827
Y 2.907 3.331 3.109
In 3.193 1.692 9.444
Y 3.472 5.076 9.659
In 0.242 5.076 1.739
Er 3.080 5.076 6.308
Y 0.528 6.715 8.074
Y 2.907 0.053 3.109
Y 0.528 3.437 8.074
Er 0.355 1.692 4.875
```



| no. | magnetic moment (μB/atom) |
| --- | --- |
| 1 | 0.000 |
| 2 | 0.000 |
| 3 | 0.000 |
| 4 | 0.000 |